Material: LiCrPO4
Method: DFT, GGA+U
State: optimized geometry

The value obtained for the energy above the lowest structure with this stoichiometry is 0.016 eV per atom. The calculation puts the calculated volume at 615.8 Å³ per cell.

Unit cell a=5.7097 b=11.2971 c=9.5461 alpha=90.00 beta=90.00 gamma=90.00
Space group Fdd2 (No. 43)
Symmetry-distinct sites (fractional):
Li1 0.0000 0.0000 0.0000 x8
Cr1 0.0000 0.0000 0.6489 x8
P1 0.0000 0.0000 0.3003 x8
O1 0.0858 0.3229 0.4521 x16
O2 0.1005 0.1721 0.6500 x16